1.
Here is ZrScFe4 at its PBEsol-relaxed geometry from the Alexandria database. Energies are from meta-GGA SCAN.

As for the electronic total energy: -475.7 eV for the cell shown. As for the density of states at the Fermi level: 9.54 states/eV per cell. For the formation energy, the calculation gives -0.244 eV/atom.

The structure belongs to space group F-43m (No. 216); the cell edges are 6.871, 6.871 and 6.871 Å and the angles 90.00°, 90.00° and 90.00°. The asymmetric unit holds Zr at (0.000, 0.000, 0.000), Sc at (0.250, 0.250, 0.750) and Fe at (0.125, 0.125, 0.375).

***

2.
Here is FeSe2 at its PBEsol-relaxed geometry from the Alexandria database. Energies are from meta-GGA SCAN.

For the raw formation energy, the calculation gives -0.375 eV/atom. As for the electronic total energy: -118.8 eV for the cell shown.

The structure belongs to space group Pnnm (No. 58); the cell edges are 4.722, 5.687 and 3.544 Å and the angles 90.00°, 90.00° and 90.00°. The asymmetric unit holds Fe at (0.000, 0.000, 0.000) and Se at (0.219, 0.366, 0.000).

***

3.
Here is FeSe4 at its PBEsol-relaxed geometry from the Alexandria database. Energies are from meta-GGA SCAN.

For the raw formation energy, the calculation gives 0.171 eV/atom. As for the electronic total energy: -195.2 eV for the cell shown. As for the density of states at the Fermi level: 2.22 states/eV per cell.

The structure belongs to space group I4/m (No. 87); the cell edges are 7.935, 7.935 and 3.205 Å and the angles 90.00°, 90.00° and 90.00°. The asymmetric unit holds Fe at (0.000, 0.000, 0.000) and Se at (0.088, 0.784, 0.500).

***

4.
Here is Fe2Se3 at its PBEsol-relaxed geometry from the Alexandria database. Energies are from meta-GGA SCAN.

For the raw formation energy, the calculation gives -0.055 eV/atom. As for the electronic total energy: -290.3 eV for the cell shown. As for the density of states at the Fermi level: 13.55 states/eV per cell.

The structure belongs to space group R-3m (No. 166, hexagonal axes); the cell edges are 3.2150, 3.2150 and 27.4186 Å and the angles 90.00°, 90.00° and 120.00°. The asymmetric unit holds Fe at (0.0000, 0.0000, 0.1023), Se at (0.0000, 0.0000, 0.2812) and Se at (0.0000, 0.0000, 0.5000).

***

5.
Here is FeSe2 at its PBEsol-relaxed geometry from the Alexandria database. Energies are from meta-GGA SCAN.

For the raw formation energy, the calculation gives -0.226 eV/atom. As for the electronic total energy: -235.9 eV for the cell shown. As for the density of states at the Fermi level: 3.11 states/eV per cell.

The structure belongs to space group Pnma (No. 62); the cell edges are 5.493, 3.381 and 11.198 Å and the angles 90.00°, 90.00° and 90.00°. The asymmetric unit holds Fe at (0.197, 0.250, 0.002), Se at (0.089, 0.250, 0.398) and Se at (0.093, 0.750, 0.140).

***

6.
Here is FeSe2 at its PBEsol-relaxed geometry from the Alexandria database. Energies are from meta-GGA SCAN.

For the raw formation energy, the calculation gives -0.342 eV/atom. As for the electronic total energy: -237.2 eV for the cell shown. As for the density of states at the Fermi level: 0.17 states/eV per cell.

The structure belongs to space group Pa-3 (No. 205); the cell edges are 5.685, 5.685 and 5.685 Å and the angles 90.00°, 90.00° and 90.00°. The asymmetric unit holds Fe at (0.000, 0.000, 0.000) and Se at (0.126, 0.626, 0.874).

***

7.
Here is FeSe8 at its PBEsol-relaxed geometry from the Alexandria database. Energies are from meta-GGA SCAN.

For the raw formation energy, the calculation gives 0.283 eV/atom. As for the electronic total energy: -352.4 eV for the cell shown. As for the density of states at the Fermi level: 7.96 states/eV per cell.

The structure belongs to space group I4/mmm (No. 139); the cell edges are 11.541, 11.541 and 3.659 Å and the angles 90.00°, 90.00° and 90.00°. The asymmetric unit holds Fe at (0.000, 0.000, 0.000), Se at (0.000, 0.198, 0.000) and Se at (0.184, 0.184, 0.500).

***

8.
Here is Fe9Se8 at its PBEsol-relaxed geometry from the Alexandria database. Energies are from meta-GGA SCAN.

For the raw formation energy, the calculation gives -0.191 eV/atom. As for the electronic total energy: -327.0 eV for the cell shown. As for the density of states at the Fermi level: 8.44 states/eV per cell.

The structure belongs to space group P4mm (No. 99); the cell edges are 7.235, 7.235 and 5.428 Å and the angles 90.00°, 90.00° and 90.00°. The asymmetric unit holds Fe at (0.000, 0.000, 0.000), Fe at (0.000, 0.252, 0.699), Fe at (0.249, 0.500, 0.695), Se at (0.000, 0.000, 0.442), Se at (0.000, 0.500, 0.435), Se at (0.253, 0.253, 0.955) and Se at (0.500, 0.500, 0.441).

***

9.
Here is FeSe2 at its PBEsol-relaxed geometry from the Alexandria database. Energies are from meta-GGA SCAN.

For the raw formation energy, the calculation gives -0.063 eV/atom. As for the electronic total energy: -233.9 eV for the cell shown. As for the density of states at the Fermi level: 7.79 states/eV per cell.

The structure belongs to space group Cm (No. 8); the cell edges are 11.588, 3.274 and 5.934 Å and the angles 90.00°, 106.75° and 90.00°. The asymmetric unit holds Fe at (0.000, 0.000, 0.000), Fe at (0.077, 0.500, 0.414), Se at (0.124, 0.000, 0.719), Se at (0.186, 0.000, 0.277), Se at (0.387, 0.000, 0.792) and Se at (0.424, 0.500, 0.312).

***

10.
Here is FeSe2 at its PBEsol-relaxed geometry from the Alexandria database. Energies are from meta-GGA SCAN.

For the raw formation energy, the calculation gives 0.703 eV/atom. As for the electronic total energy: -56.2 eV for the cell shown. As for the density of states at the Fermi level: 2.11 states/eV per cell.

The structure belongs to space group P6/mmm (No. 191); the cell edges are 4.7688, 4.7688 and 2.6900 Å and the angles 90.00°, 90.00° and 120.00°. The asymmetric unit holds Fe at (0.0000, 0.0000, 0.0000) and Se at (0.3333, 0.6667, 0.5000).

***

11.
Here is Fe3SiSe at its PBEsol-relaxed geometry from the Alexandria database. Energies are from meta-GGA SCAN.

For the raw formation energy, the calculation gives 0.742 eV/atom. As for the electronic total energy: -80.8 eV for the cell shown. As for the density of states at the Fermi level: 3.54 states/eV per cell.

The structure belongs to space group Pm-3m (No. 221); the cell edges are 4.221, 4.221 and 4.221 Å and the angles 90.00°, 90.00° and 90.00°. The asymmetric unit holds Fe at (0.000, 0.000, 0.500), Si at (0.000, 0.000, 0.000) and Se at (0.500, 0.500, 0.500).

***

12.
Here is FeSiSe at its PBEsol-relaxed geometry from the Alexandria database. Energies are from meta-GGA SCAN.

For the raw formation energy, the calculation gives 0.307 eV/atom. As for the electronic total energy: -94.6 eV for the cell shown. As for the density of states at the Fermi level: 3.06 states/eV per cell.

The structure belongs to space group I4mm (No. 107); the cell edges are 2.829, 2.829 and 10.928 Å and the angles 90.00°, 90.00° and 90.00°. The asymmetric unit holds Fe at (0.000, 0.000, 0.000), Si at (0.000, 0.000, 0.367) and Se at (0.000, 0.000, 0.628).

***

13.
Here is Sr2FeSe at its PBEsol-relaxed geometry from the Alexandria database. Energies are from meta-GGA SCAN.

For the raw formation energy, the calculation gives -0.479 eV/atom. As for the electronic total energy: -84.7 eV for the cell shown. As for the density of states at the Fermi level: 2.79 states/eV per cell.

The structure belongs to space group P4/mmm (No. 123); the cell edges are 5.263, 5.263 and 3.717 Å and the angles 90.00°, 90.00° and 90.00°. The asymmetric unit holds Sr at (0.000, 0.500, 0.000), Fe at (0.000, 0.000, 0.500) and Se at (0.500, 0.500, 0.500).

***

14.
Here is Sr3FeSe at its PBEsol-relaxed geometry from the Alexandria database. Energies are from meta-GGA SCAN.

For the raw formation energy, the calculation gives 0.005 eV/atom. As for the electronic total energy: -105.0 eV for the cell shown. As for the density of states at the Fermi level: 4.23 states/eV per cell.

The structure belongs to space group Pm-3m (No. 221); the cell edges are 5.369, 5.369 and 5.369 Å and the angles 90.00°, 90.00° and 90.00°. The asymmetric unit holds Sr at (0.000, 0.000, 0.500), Fe at (0.000, 0.000, 0.000) and Se at (0.500, 0.500, 0.500).

***

15.
Here is Ta11Fe2Se8 at its PBEsol-relaxed geometry from the Alexandria database. Energies are from meta-GGA SCAN.

For the raw formation energy, the calculation gives -0.553 eV/atom. As for the electronic total energy: -1881.8 eV for the cell shown. As for the density of states at the Fermi level: 17.86 states/eV per cell.

The structure belongs to space group Pnnm (No. 58); the cell edges are 12.051, 19.399 and 3.367 Å and the angles 90.00°, 90.00° and 90.00°. The asymmetric unit holds Ta at (0.000, 0.000, 0.000), Ta at (0.053, 0.245, 0.000), Ta at (0.063, 0.117, 0.500), Ta at (0.153, 0.787, 0.500), Ta at (0.171, 0.353, 0.500), Ta at (0.180, 0.947, 0.500), Fe at (0.094, 0.873, 0.000), Se at (0.043, 0.671, 0.500), Se at (0.109, 0.448, 0.000), Se at (0.206, 0.057, 0.000) and Se at (0.217, 0.216, 0.500).

***

16.
Here is ZrTaFe2Se at its PBEsol-relaxed geometry from the Alexandria database. Energies are from meta-GGA SCAN.

For the raw formation energy, the calculation gives 1.820 eV/atom. As for the electronic total energy: -144.5 eV for the cell shown. As for the density of states at the Fermi level: 4.23 states/eV per cell.

The structure belongs to space group P4/mmm (No. 123); the cell edges are 4.448, 4.448 and 5.050 Å and the angles 90.00°, 90.00° and 90.00°. The asymmetric unit holds Zr at (0.000, 0.000, 0.000), Ta at (0.000, 0.000, 0.500), Fe at (0.000, 0.500, 0.000) and Se at (0.500, 0.500, 0.500).

***

17.
Here is FeTc2Se at its PBEsol-relaxed geometry from the Alexandria database. Energies are from meta-GGA SCAN.

For the raw formation energy, the calculation gives 0.326 eV/atom. As for the electronic total energy: -321.1 eV for the cell shown. As for the density of states at the Fermi level: 10.36 states/eV per cell.

The structure belongs to space group R-3m (No. 166, hexagonal axes); the cell edges are 2.8068, 2.8068 and 23.9794 Å and the angles 90.00°, 90.00° and 120.00°. The asymmetric unit holds Fe at (0.0000, 0.0000, 0.0000), Tc at (0.0000, 0.0000, 0.2510) and Se at (0.0000, 0.0000, 0.5000).

***

18.
Here is Fe2TcSe at its PBEsol-relaxed geometry from the Alexandria database. Energies are from meta-GGA SCAN.

For the raw formation energy, the calculation gives 0.382 eV/atom. As for the electronic total energy: -89.9 eV for the cell shown. As for the density of states at the Fermi level: 4.22 states/eV per cell.

The structure belongs to space group Pmmm (No. 47); the cell edges are 2.814, 3.645 and 4.937 Å and the angles 90.00°, 90.00° and 90.00°. The asymmetric unit holds Fe at (0.000, 0.000, 0.240), Tc at (0.500, 0.500, 0.000) and Se at (0.500, 0.500, 0.500).

***

19.
Here is Fe2TcSe at its PBEsol-relaxed geometry from the Alexandria database. Energies are from meta-GGA SCAN.

For the raw formation energy, the calculation gives 0.411 eV/atom. As for the electronic total energy: -179.5 eV for the cell shown. As for the density of states at the Fermi level: 6.96 states/eV per cell.

The structure belongs to space group Cmm2 (No. 35); the cell edges are 3.021, 4.363 and 8.231 Å and the angles 90.00°, 90.00° and 90.00°. The asymmetric unit holds Fe at (0.000, 0.000, 0.000), Fe at (0.000, 0.500, 0.225), Tc at (0.000, 0.500, 0.763) and Se at (0.000, 0.000, 0.473).

***

20.
Here is FeTc2Se at its PBEsol-relaxed geometry from the Alexandria database. Energies are from meta-GGA SCAN.

For the raw formation energy, the calculation gives 0.288 eV/atom. As for the electronic total energy: -214.4 eV for the cell shown. As for the density of states at the Fermi level: 6.71 states/eV per cell.

The structure belongs to space group Amm2 (No. 38); the cell edges are 3.738, 2.791 and 10.357 Å and the angles 90.00°, 90.00° and 90.00°. The asymmetric unit holds Fe at (0.000, 0.000, 0.000), Tc at (0.000, 0.000, 0.260), Tc at (0.500, 0.000, 0.644) and Se at (0.500, 0.000, 0.420).